Density functional theory data (GGA+U) for a relaxed structure of VBi2RhO6.

```
data_VBi2RhO6
_chemical_formula_sum 'V2 Bi4 Rh2 O12'
_symmetry_space_group_name_H-M 'P 1'
_symmetry_Int_Tables_number 1
_cell_length_a 7.5787
_cell_length_b 6.3626
_cell_length_c 7.3742
_cell_angle_alpha 90.00
_cell_angle_beta 118.04
_cell_angle_gamma 90.00
loop_
_symmetry_equiv_pos_as_xyz
'x,y,z'
loop_
_atom_site_label
_atom_site_type_symbol
_atom_site_fract_x
_atom_site_fract_y
_atom_site_fract_z
_atom_site_occupancy
O1 O 0.0348 0.2166 0.0707 1
O2 O 0.9652 0.7834 0.9293 1
O3 O 0.5078 0.3042 0.9682 1
O4 O 0.0078 0.1958 0.4682 1
O5 O 0.5348 0.2834 0.5707 1
O6 O 0.4922 0.6958 0.0318 1
O7 O 0.4652 0.7166 0.4293 1
O8 O 0.9798 0.5749 0.2307 1
O9 O 0.4798 0.9251 0.7307 1
O10 O 0.0202 0.4251 0.7693 1
O11 O 0.5202 0.0749 0.2693 1
O12 O 0.9922 0.8042 0.5318 1
V1 V 0.5000 0.0000 0.5000 1
V2 V 0.0000 0.5000 0.0000 1
Bi1 Bi 0.9247 0.9589 0.2136 1
Bi2 Bi 0.0753 0.0411 0.7864 1
Bi3 Bi 0.5753 0.4589 0.2864 1
Bi4 Bi 0.4247 0.5411 0.7136 1
Rh1 Rh 0.0000 0.5000 0.5000 1
Rh2 Rh 0.5000 0.0000 0.0000 1
```

Results
V: 313.9 Å³/cell
Crystal system: monoclinic
SG: P2_1/c, No. 14
VASP energy: -62.861 eV per formula unit